1.
U4TlSe8, relaxed, DFT GGA-PBE; formation energy from raw total energies = -98.4 kJ/mol of atoms; polymorph energy (0 for the lowest one) = 50 meV/atom
1.0
-0.711 -1.337 8.435
-1.864 -7.825 2.956
5.968 -4.552 4.135
U Se Tl
4 8 1
direct
0.372 0.883 0.372 U
0.372 0.372 0.372 U
0.372 0.372 0.883 U
0.883 0.372 0.372 U
0.608 0.177 0.608 Se
0.608 0.608 0.177 Se
0.137 0.137 0.589 Se
0.137 0.137 0.137 Se
0.589 0.137 0.137 Se
0.177 0.608 0.608 Se
0.608 0.608 0.608 Se
0.137 0.589 0.137 Se
0.750 0.750 0.750 Tl

2.
Zr3C5, relaxed, DFT GGA-PBE; formation energy from the elements = -146 meV per atom; polymorph energy (0 for the lowest one) = 0 meV/atom
1.0
-2.355 -1.827 1.309
-0.426 -1.498 -2.858
6.610 -6.710 2.531
C Zr
5 3
direct
0.500 0.500 0.427 C
0.000 0.000 0.000 C
0.000 0.000 0.863 C
0.000 0.000 0.137 C
0.500 0.500 0.573 C
0.500 0.500 0.211 Zr
0.500 0.500 0.789 Zr
0.000 0.000 0.500 Zr

3.
YAsPd2Au, relaxed, DFT GGA-PBE; formation energy from the elements = -353 meV per atom
1.0
-2.230 -2.800 3.058
1.113 -3.907 -2.765
4.006 -0.562 2.407
Y Pd Au As
1 2 1 1
direct
0.500 0.500 0.500 Y
0.000 0.000 0.500 Pd
0.500 0.000 0.000 Pd
0.000 0.500 0.000 Au
0.000 0.000 0.000 As

4.
RbGaSn, relaxed, DFT GGA-PBE; formation energy from the elements = -185 meV per atom
1.0
-2.956 -0.453 3.370
6.120 -1.182 2.196
-1.728 7.031 2.433
Rb Ga Sn
2 2 2
direct
0.420 0.812 0.929 Rb
0.556 0.388 0.233 Rb
0.867 0.413 0.635 Ga
0.109 0.787 0.526 Ga
0.207 0.213 0.755 Sn
0.769 0.987 0.406 Sn

5.
Lu2CoAu, relaxed, DFT GGA-PBE; formation energy from the elements = -565 meV per atom; polymorph energy (0 for the lowest one) = 0 meV/atom
1.0
-3.230 0.543 -0.756
-0.884 -0.937 3.104
0.605 6.630 2.174
Co Au Lu
1 1 2
direct
0.500 0.500 0.000 Co
0.500 0.500 0.500 Au
0.000 0.000 0.771 Lu
0.000 0.000 0.229 Lu

6.
NaScSn, relaxed, DFT GGA-PBE; formation energy from the elements = -230 meV per atom
1.0
-7.606 -6.989 -1.411
-2.206 -7.447 -3.056
3.704 5.385 5.190
Na Sn Sc
2 2 2
direct
0.514 0.160 0.840 Na
0.486 0.840 0.160 Na
0.000 0.000 0.000 Sn
0.500 0.500 0.500 Sn
0.040 0.312 0.688 Sc
0.960 0.688 0.312 Sc